KBa2NiF8 | PBE+U | optimized geometry

Cell: 5.6378 5.6378 7.7021 Å, 90.00 90.00 120.00°
Last column: nearest neighbours and their distance in Å.
Space group P-3m1 (No. 164)
Asymmetric unit:
K: 0.0000 0.0000 0.0000 [1 per cell]  12 F 3.16-3.26
Ba: 0.3333 0.6667 0.3283 [2 per cell]  1 F 2.46
Ni: 0.0000 0.0000 0.5000 [1 per cell]  6 F 1.93
F: 0.1615 0.3230 0.6449 [6 per cell]  1 Ni 1.93
F: 0.3333 0.6667 0.0091 [2 per cell]  1 Ba 2.46

Values from the calculation:
Crystal system: trigonal
Calculated total energy in eV/atom: -4.7373